{"formula": "VNi2AsH", "functional": "PBE-GGA", "state": "optimized geometry", "lattice_angstrom": [[-2.4935, 1.9001, 1.7859], [-1.6406, -3.0638, 0.9691], [2.2317, -0.1567, 3.2826]], "species": ["Ni", "Ni", "V", "H", "As"], "frac_coords": [[0.0000, 0.5000, 0.0000], [0.5000, 0.0000, 0.0000], [0.0000, 0.0000, 0.5000], [0.0000, 0.0000, 0.0000], [0.5000, 0.5000, 0.5000]], "sg": "P4/mmm, No. 123", "dos_ef_per_ev_fu": 3.61, "dft_energy_ev_per_atom": -5.93}


{"formula": "YNi2AsH", "functional": "PBE-GGA", "state": "optimized geometry", "lattice_angstrom": [[3.8473, 0.0000, 0.0000], [-1.9236, 5.0993, 0.0000], [0.0000, 0.0000, 6.7634]], "species": ["As", "As", "Ni", "Ni", "Ni", "Ni", "H", "H", "Y", "Y"], "frac_coords": [[0.7217, 0.4433, 0.7500], [0.2783, 0.5567, 0.2500], [0.1581, 0.3161, 0.5582], [0.1581, 0.3161, 0.9418], [0.8419, 0.6839, 0.4418], [0.8419, 0.6839, 0.0582], [0.0000, 0.0000, 0.0000], [0.0000, 0.0000, 0.5000], [0.4382, 0.8764, 0.7500], [0.5618, 0.1236, 0.2500]], "sg": "Cmcm, No. 63", "dos_ef_per_ev_fu": 1.98, "dft_energy_ev_per_atom": -5.90}


{"formula": "NpAs2H", "functional": "PBE-GGA", "state": "optimized geometry", "lattice_angstrom": [[-1.9118, 2.7043, -2.7117], [-4.0001, 1.3209, 0.7592], [0.2590, 6.2079, 2.6301]], "species": ["As", "As", "Np", "H"], "frac_coords": [[0.0940, 0.0940, 0.7179], [0.9060, 0.9060, 0.2821], [0.5000, 0.5000, 0.5000], [0.0000, 0.0000, 0.0000]], "sg": "R-3m, No. 166", "dos_ef_per_ev_fu": 9.39, "dft_energy_ev_per_atom": -6.30}


{"formula": "Np3AsH3", "functional": "PBE-GGA", "state": "optimized geometry", "lattice_angstrom": [[-1.7683, -0.7626, -2.8595], [7.1347, -0.3089, -4.3297], [-2.9594, -6.8941, 3.6688]], "species": ["Np", "Np", "Np", "Np", "Np", "Np", "As", "As", "H", "H", "H", "H", "H", "H"], "frac_coords": [[0.2500, 0.5753, 0.9604], [0.2500, 0.0396, 0.6149], [0.7500, 0.6149, 0.5753], [0.2500, 0.3851, 0.4247], [0.7500, 0.4247, 0.0396], [0.7500, 0.9604, 0.3851], [0.7500, 0.3333, 0.6667], [0.2500, 0.6667, 0.3333], [0.2500, 0.8135, 0.7102], [0.2500, 0.2898, 0.1033], [0.2500, 0.8967, 0.1865], [0.7500, 0.7102, 0.8967], [0.7500, 0.1865, 0.2898], [0.7500, 0.1033, 0.8135]], "sg": "P6_3/m, No. 176", "dos_ef_per_ev_fu": 12.07, "dft_energy_ev_per_atom": -7.85}


{"formula": "Np2AsH3", "functional": "PBE-GGA", "state": "optimized geometry", "lattice_angstrom": [[3.7716, 0.0000, 1.0383], [0.9424, 6.0753, 3.9460], [0.1010, 0.5479, 7.0024]], "species": ["Np", "Np", "Np", "Np", "As", "As", "H", "H", "H", "H", "H", "H"], "frac_coords": [[0.4911, 0.1937, 0.8241], [0.5089, 0.8063, 0.1759], [0.8250, 0.6436, 0.7063], [0.1750, 0.3564, 0.2937], [0.8483, 0.0996, 0.2038], [0.1517, 0.9004, 0.7962], [0.4145, 0.5981, 0.5728], [0.0044, 0.6461, 0.3450], [0.9956, 0.3539, 0.6550], [0.3148, 0.4551, 0.9153], [0.6852, 0.5449, 0.0847], [0.5855, 0.4019, 0.4272]], "sg": "C2/m, No. 12", "dos_ef_per_ev_fu": 8.25, "dft_energy_ev_per_atom": -7.14}


{"formula": "Np5As5H2", "functional": "PBE-GGA", "state": "optimized geometry", "lattice_angstrom": [[-1.4717, 1.0283, 3.2617], [-5.2345, -5.3857, 1.4610], [5.2014, -3.7107, 5.6417]], "species": ["Np", "Np", "Np", "Np", "Np", "H", "H", "As", "As", "As", "As", "As"], "frac_coords": [[0.7358, 0.3444, 0.1841], [0.9350, 0.7597, 0.3704], [0.2642, 0.6556, 0.8159], [0.0650, 0.2403, 0.6296], [0.0000, 0.0000, 0.0000], [0.8690, 0.5075, 0.7545], [0.1310, 0.4925, 0.2455], [0.6860, 0.9309, 0.6970], [0.3140, 0.0691, 0.3030], [0.3969, 0.2937, 0.9124], [0.6031, 0.7063, 0.0876], [0.5000, 0.5000, 0.5000]], "sg": "C2/m, No. 12", "dos_ef_per_ev_fu": 30.25, "dft_energy_ev_per_atom": -8.39}


{"formula": "Np2As2H", "functional": "PBE-GGA", "state": "optimized geometry", "lattice_angstrom": [[5.7174, 0.0000, 0.0000], [0.0000, 5.7975, 0.0000], [-2.8587, -2.8987, 5.7948]], "species": ["H", "H", "Np", "Np", "Np", "Np", "As", "As", "As", "As"], "frac_coords": [[0.2500, 0.5000, 0.0000], [0.7500, 0.5000, 0.0000], [0.3885, 0.6056, 0.7771], [0.8885, 0.1715, 0.7771], [0.6115, 0.3944, 0.2229], [0.1115, 0.8285, 0.2229], [0.8586, 0.6497, 0.7171], [0.1414, 0.3503, 0.2829], [0.6414, 0.9325, 0.2829], [0.3586, 0.0675, 0.7171]], "sg": "Ibam, No. 72", "relative_energy_mev_per_atom": 0, "dos_ef_per_ev_fu": 13.07, "dft_energy_ev_per_atom": -8.30}


{"formula": "Np2AsH4", "functional": "PBE-GGA", "state": "optimized geometry", "lattice_angstrom": [[-2.5061, -1.8323, -2.1270], [1.1061, -2.8876, -2.1449], [-1.7334, -5.9987, 3.8806]], "species": ["Np", "Np", "H", "H", "H", "H", "As"], "frac_coords": [[0.7567, 0.7567, 0.7300], [0.2433, 0.2433, 0.2700], [0.4370, 0.4370, 0.6890], [0.8649, 0.8649, 0.4052], [0.1351, 0.1351, 0.5948], [0.5630, 0.5630, 0.3110], [0.0000, 0.0000, 0.0000]], "sg": "R-3m, No. 166", "dos_ef_per_ev_fu": 9.86, "dft_energy_ev_per_atom": -6.65}


{"formula": "Np2AsH2", "functional": "PBE-GGA", "state": "optimized geometry", "lattice_angstrom": [[5.5417, -0.5057, -1.6110], [-2.4964, 4.7128, -2.2607], [-0.0777, 0.5709, 5.9766]], "species": ["As", "As", "Np", "Np", "Np", "Np", "H", "H", "H", "H"], "frac_coords": [[0.0461, 0.7963, 0.2499], [0.9539, 0.2037, 0.7501], [0.4909, 0.6438, 0.2916], [0.5091, 0.3562, 0.7084], [0.8521, 0.1993, 0.2084], [0.1479, 0.8007, 0.7915], [0.5073, 0.7418, 0.9643], [0.4927, 0.2582, 0.0357], [0.7228, 0.4574, 0.4646], [0.2772, 0.5426, 0.5354]], "sg": "C2/c, No. 15", "dos_ef_per_ev_fu": 10.43, "dft_energy_ev_per_atom": -7.78}


{"formula": "Np2As2H", "functional": "PBE-GGA", "state": "optimized geometry", "lattice_angstrom": [[-1.2942, 5.0632, 5.1757], [4.5489, -2.9580, 4.0311], [5.5975, 4.5076, -3.0087]], "species": ["As", "As", "As", "As", "As", "As", "As", "As", "Np", "Np", "Np", "Np", "Np", "Np", "Np", "Np", "H", "H", "H", "H"], "frac_coords": [[0.0000, 0.2501, 0.6313], [0.5000, 0.7501, 0.3687], [0.0000, 0.2501, 0.1198], [0.5000, 0.2499, 0.1198], [0.0000, 0.7499, 0.3687], [0.0000, 0.7499, 0.8802], [0.5000, 0.2499, 0.6313], [0.5000, 0.7501, 0.8802], [0.7499, 0.4230, 0.8697], [0.2500, 0.5882, 0.6193], [0.7501, 0.9230, 0.1303], [0.2500, 0.0882, 0.3807], [0.7500, 0.4118, 0.3807], [0.2499, 0.0770, 0.8697], [0.7500, 0.9118, 0.6193], [0.2501, 0.5770, 0.1303], [0.2505, 0.4161, 0.3773], [0.2495, 0.9161, 0.6227], [0.7495, 0.5839, 0.6227], [0.7505, 0.0839, 0.3773]], "sg": "P2_1/c, No. 14", "relative_energy_mev_per_atom": 16, "dos_ef_per_ev_fu": 12.34, "dft_energy_ev_per_atom": -8.29}


{"formula": "NpAsH2O8", "functional": "PBE-GGA", "state": "optimized geometry", "lattice_angstrom": [[-4.4397, 1.8322, -1.1253], [-2.0149, -4.1209, 1.6297], [0.2120, 2.8319, 5.7103]], "species": ["O", "O", "O", "O", "O", "O", "O", "O", "H", "H", "As", "Np"], "frac_coords": [[0.2845, 0.2540, 0.5119], [0.7155, 0.7460, 0.4881], [0.8514, 0.1824, 0.7346], [0.2937, 0.2243, 0.0117], [0.8493, 0.2360, 0.3159], [0.1486, 0.8176, 0.2654], [0.1507, 0.7640, 0.6841], [0.7063, 0.7757, 0.9883], [0.7649, 0.5650, 0.4116], [0.2351, 0.4350, 0.5884], [0.0000, 0.0000, 0.5000], [0.0000, 0.0000, 0.0000]], "sg": "P-1, No. 2", "dos_ef_per_ev_fu": 2.34, "dft_energy_ev_per_atom": -6.54}


{"formula": "NpAsH2O6", "functional": "PBE-GGA", "state": "optimized geometry", "lattice_angstrom": [[0.0052, -0.0236, 4.7421], [-2.7896, -5.2459, -0.0231], [6.6204, -3.5237, 0.7299]], "species": ["O", "O", "O", "O", "O", "O", "O", "O", "O", "O", "O", "O", "H", "H", "H", "H", "Np", "Np", "As", "As"], "frac_coords": [[0.8667, 0.5021, 0.7745], [0.3262, 0.3444, 0.9115], [0.6738, 0.6556, 0.0885], [0.1738, 0.8444, 0.5885], [0.3288, 0.2805, 0.5423], [0.3667, 0.9979, 0.2745], [0.8262, 0.1556, 0.4115], [0.1333, 0.4979, 0.2255], [0.6712, 0.7195, 0.4577], [0.1712, 0.7805, 0.9577], [0.6333, 0.0021, 0.7255], [0.8288, 0.2195, 0.0423], [0.4764, 0.4363, 0.8446], [0.9764, 0.0637, 0.3446], [0.0236, 0.9363, 0.6554], [0.5236, 0.5637, 0.1554], [0.0000, 0.5000, 0.5000], [0.5000, 0.0000, 0.0000], [0.0000, 0.5000, 0.0000], [0.5000, 0.0000, 0.5000]], "sg": "P2_1/c, No. 14", "dos_ef_per_ev_fu": 2.91, "dft_energy_ev_per_atom": -7.03}


| no. | M_tot (μB/cell) |
| --- | --- |
| 1 | 0.93 |
| 2 | 0.00 |
| 3 | 2.38 |
| 4 | 1.20 |
| 5 | 11.76 |
| 6 | 3.42 |
| 7 | 13.98 |
| 8 | 7.00 |
| 9 | 17.61 |
| 10 | 27.98 |
| 11 | 2.09 |
| 12 | 4.00 |